Material: Rb2HgS2
Method: DFT, PBE-GGA
State: optimized geometry

Lattice parameters (Å, degrees): 6.712 8.954 9.311 122.25 90.00 112.01
Atoms (fractional coordinates):
Rb: 0.663 0.326 0.547
Rb: 0.337 0.674 0.453
Rb: 0.047 0.095 0.758
Rb: 0.953 0.905 0.242
Hg: 0.312 0.624 0.894
Hg: 0.688 0.376 0.106
S: 0.186 0.372 0.593
S: 0.814 0.628 0.407
S: 0.430 0.860 0.197
S: 0.570 0.140 0.803

Output
The calculation puts the energy at -0.21415 Ry per atom.